MgH2Rh | GGA-PBE | relaxed

## Properties
calculated total energy: -4.132 eV/atom
calculated density: 5.829 g/cm3

Cell: 3.088 3.088 4.802 Å, 71.25 71.25 60.00°
Sites, in units of the cell vectors:
H 0.720 0.720 0.841
Rh 0.000 0.000 0.000
H 0.280 0.280 0.159
Mg 0.500 0.500 0.500